Material: InAgCl2
Method: DFT, PBE
State: optimized geometry

```
InAgCl2
1.0
-1.3857 1.2299 3.0258
2.9932 -0.8372 1.7111
2.7755 6.8392 -1.5089
Cl Ag In
2 1 1
direct
0.0000 0.0000 0.9728
0.0000 0.0000 0.5272
0.5000 0.5000 0.7500
0.5000 0.5000 0.2500
```

The space group is P4/mmm. As for the uncorrected formation energy: -0.495 eV per atom.